## HgBi2Pb (PBE)

Data for a geometry-optimized HgBi2Pb structure.

Total DFT energy (no corrections): -11.341 eV for the cell shown
Space-group type: R3m, No. 160
Energy relative to the elements: 0.11 eV per atom
Energy above the most stable polymorph in this dataset: 54 meV per atom

abc: 5.1747 5.1747 6.6780
angles: 67.20 67.20 60.00
Last column: nearest neighbours and their distance in Å.
Fractional coordinates of all 4 atoms:
Hg: 0.4818 0.4818 0.5547  3 Bi 3.18, 1 Pb 3.35
Bi: 0.0872 0.0872 0.7385  1 Bi 3.14, 3 Hg 3.18, 3 Pb 3.35
Bi: 0.2622 0.2622 0.2135  1 Bi 3.14, 3 Pb 3.26
Pb: 0.6689 0.6689 0.9933  6 Bi 3.26-3.35, 1 Hg 3.35